DFT (PBE) results for crystalline CrMoIr3 at its relaxed geometry.

The structure in POSCAR format:
```
CrMoIr3
1.0
4.042 0.000 0.000
0.000 6.451 0.000
0.000 0.000 5.734
Cr Mo Ir
2 2 6
Direct
0.250 0.250 0.051
0.750 0.750 0.949
0.250 0.750 0.224
0.750 0.250 0.776
0.250 0.250 0.466
0.250 0.553 0.769
0.250 0.947 0.769
0.750 0.053 0.231
0.750 0.447 0.231
0.750 0.750 0.534
```

Properties
Magnetic moment: 0.00 μB per formula unit
Volume: 15.0 Å³/atom
Final energy: -0.6849 Ry per atom
Energy above the most stable polymorph in this dataset: 0.009 eV per atom
Energy relative to the elements: 0.09 eV per atom

---

DFT (PBE) results for crystalline LiEr5Ga4 at its relaxed geometry.

The structure in POSCAR format:
```
LiEr5Ga4
1.0
-4.500 4.500 3.023
4.500 -4.500 3.023
4.500 4.500 -3.023
Li Er Ga
1 5 4
Direct
0.000 0.000 0.000
0.162 0.566 0.243
0.322 0.919 0.757
0.524 0.524 0.000
0.566 0.322 0.403
0.919 0.162 0.597
0.018 0.865 0.364
0.500 0.653 0.636
0.653 0.018 0.153
0.865 0.500 0.847
```

Properties
Magnetic moment: 0.00 μB per formula unit
Volume: 24.5 Å³/atom
Final energy: -0.2897 Ry per atom
Energy relative to the elements: -0.26 eV per atom